In2TcBr: optimized geometry, PBE-GGA.

a = 3.344 Å, b = 3.344 Å, c = 7.894 Å
α = 90.00°, β = 90.00°, γ = 90.00°
Last column: magnetic moment on the atom in μB.
Positions (direct):
Tc (0.500, 0.500, 0.250)  0.21
Br (0.500, 0.500, 0.750)  0.00
In (0.000, 0.000, 0.051)  -0.01
In (0.000, 0.000, 0.449)  -0.01

Computed properties:
Energy above the lowest structure with this stoichiometry, meV/atom: 93
Size of the total moment, μB/cell: 0.22